Below is a relaxed structure of Hf2MgSb2, with properties calculated at the GGA-PBE level.

Its total moment is 0.00 μB per cell. The uncorrected formation energy comes out at -242 meV/atom. The value obtained for the calculated volume is 23.64 Å³/atom. Its total energy is -0.2275 Ha/atom. As for the energy above the most stable polymorph in this dataset: 0.067 eV per atom. As for the space group: P4/mbm.

Cell lengths 7.9403, 7.9403, 3.7487 Å; angles 90.00, 90.00, 90.00 degrees
With the nearest neighbours (Å) after each atom.
Positions (direct):
Hf  0.8650  0.6350  0.0000  6 Sb 2.98-3.00, 1 Hf 3.03, 2 Mg 3.09
Hf  0.3650  0.8650  0.0000  6 Sb 2.98-3.00, 1 Hf 3.03, 2 Mg 3.09
Hf  0.6350  0.1350  0.0000  6 Sb 2.98-3.00, 1 Hf 3.03, 2 Mg 3.09
Hf  0.1350  0.3650  0.0000  6 Sb 2.98-3.00, 1 Hf 3.03, 2 Mg 3.09
Sb  0.1590  0.6590  0.5000  6 Hf 2.98-3.00
Sb  0.3410  0.1590  0.5000  6 Hf 2.98-3.00
Sb  0.8410  0.3410  0.5000  6 Hf 2.98-3.00
Sb  0.6590  0.8410  0.5000  6 Hf 2.98-3.00
Mg  0.0000  0.0000  0.0000  4 Hf 3.09
Mg  0.5000  0.5000  0.0000  4 Hf 3.09

---

Below is a relaxed structure of InGe2IrC, with properties calculated at the GGA-PBE level.

Its total moment is 0.00 μB per cell. The value obtained for the calculated volume is 17.98 Å³/atom. Its total energy is -0.1953 Ha/atom. As for the space group: P4/mmm. For the energy relative to the elements, the calculation gives 0.697 eV per atom.

Cell lengths 4.7979, 3.9056, 4.7979 Å; angles 90.00, 90.00, 90.00 degrees
With the nearest neighbours (Å) after each atom.
Positions (direct):
Ge  0.5000  0.0000  0.0000  2 C 2.40
Ge  0.0000  0.0000  0.5000  2 C 2.40
In  0.5000  0.5000  0.5000  8 Ge 3.09, 4 Ir 3.39
Ir  0.0000  0.5000  0.0000  2 C 1.95
C  0.0000  0.0000  0.0000  2 Ir 1.95